K2MgRe | PBE-GGA | optimized geometry

Cell and atoms, written as CIF:
```
data_K2MgRe
_symmetry_space_group_name_H-M 'P 1'
_symmetry_Int_Tables_number 1
_symmetry_space_group_name_Hall 'P 1'
_cell_length_a 6.030
_cell_length_b 11.881
_cell_length_c 2.832
_cell_angle_alpha 90.00
_cell_angle_beta 90.00
_cell_angle_gamma 90.00
loop_
_atom_site_label
_atom_site_fract_x
_atom_site_fract_y
_atom_site_fract_z
K1 0.250 0.250 0.000
K2 0.250 0.750 0.000
K3 0.750 0.250 0.000
K4 0.750 0.750 0.000
Mg1 0.000 0.000 0.500
Mg2 0.500 0.500 0.500
Re1 0.000 0.500 0.500
Re2 0.500 0.000 0.500
```

## Properties
- Energy of formation from the pure elements: 1272 meV per atom
- Energy above the lowest structure with this stoichiometry: 352 meV per atom
- Symmetry: Cmmm

***

KMgRe2 | PBE-GGA | optimized geometry

Cell and atoms, written as CIF:
```
data_KMgRe2
_symmetry_space_group_name_H-M 'P 1'
_symmetry_Int_Tables_number 1
_symmetry_space_group_name_Hall 'P 1'
_cell_length_a 12.035
_cell_length_b 2.742
_cell_length_c 4.889
_cell_angle_alpha 90.00
_cell_angle_beta 113.80
_cell_angle_gamma 90.00
loop_
_atom_site_label
_atom_site_fract_x
_atom_site_fract_y
_atom_site_fract_z
K1 0.000 0.000 0.000
K2 0.500 0.500 0.000
Mg1 0.000 0.500 0.500
Mg2 0.500 0.000 0.500
Re1 0.226 0.000 0.727
Re2 0.274 0.500 0.273
Re3 0.726 0.500 0.727
Re4 0.774 0.000 0.273
```

## Properties
- Energy of formation from the pure elements: 1028 meV per atom
- Energy above the lowest structure with this stoichiometry: 486 meV per atom
- Symmetry: C2/m

***

K2MgRe | PBE-GGA | optimized geometry

Cell and atoms, written as CIF:
```
data_K2MgRe
_symmetry_space_group_name_H-M 'P 1'
_symmetry_Int_Tables_number 1
_symmetry_space_group_name_Hall 'P 1'
_cell_length_a 2.816
_cell_length_b 4.595
_cell_length_c 10.045
_cell_angle_alpha 90.00
_cell_angle_beta 90.00
_cell_angle_gamma 90.00
loop_
_atom_site_label
_atom_site_fract_x
_atom_site_fract_y
_atom_site_fract_z
K1 0.000 0.000 0.000
K2 0.500 0.500 0.413
Mg1 0.000 0.000 0.671
Re1 0.500 0.500 0.750
```

## Properties
- Energy of formation from the pure elements: 920 meV per atom
- Energy above the lowest structure with this stoichiometry: 0 meV per atom
- Symmetry: Pmm2

***

K2MgRe2 | PBE-GGA | optimized geometry

Cell and atoms, written as CIF:
```
data_K2MgRe2
_symmetry_space_group_name_H-M 'P 1'
_symmetry_Int_Tables_number 1
_symmetry_space_group_name_Hall 'P 1'
_cell_length_a 4.101
_cell_length_b 4.101
_cell_length_c 15.512
_cell_angle_alpha 90.00
_cell_angle_beta 90.00
_cell_angle_gamma 90.00
loop_
_atom_site_label
_atom_site_fract_x
_atom_site_fract_y
_atom_site_fract_z
K1 0.000 0.500 0.250
K2 0.000 0.500 0.750
K3 0.500 0.000 0.250
K4 0.500 0.000 0.750
Mg1 0.000 0.000 0.000
Mg2 0.500 0.500 0.500
Re1 0.000 0.000 0.430
Re2 0.000 0.000 0.570
Re3 0.500 0.500 0.070
Re4 0.500 0.500 0.930
```

## Properties
- Energy of formation from the pure elements: 1657 meV per atom
- Energy above the lowest structure with this stoichiometry: 398 meV per atom
- Symmetry: I4/mmm

***

K2MgRe | PBE-GGA | optimized geometry

Cell and atoms, written as CIF:
```
data_K2MgRe
_symmetry_space_group_name_H-M 'P 1'
_symmetry_Int_Tables_number 1
_symmetry_space_group_name_Hall 'P 1'
_cell_length_a 3.004
_cell_length_b 3.004
_cell_length_c 37.625
_cell_angle_alpha 90.00
_cell_angle_beta 90.00
_cell_angle_gamma 120.00
loop_
_atom_site_label
_atom_site_fract_x
_atom_site_fract_y
_atom_site_fract_z
K1 0.000 0.000 0.243
K2 0.000 0.000 0.757
K3 0.333 0.667 0.424
K4 0.333 0.667 0.909
K5 0.667 0.333 0.091
K6 0.667 0.333 0.576
Mg1 0.000 0.000 0.000
Mg2 0.333 0.667 0.667
Mg3 0.667 0.333 0.333
Re1 0.000 0.000 0.500
Re2 0.333 0.667 0.167
Re3 0.667 0.333 0.833
```

## Properties
- Energy of formation from the pure elements: 1114 meV per atom
- Energy above the lowest structure with this stoichiometry: 194 meV per atom
- Symmetry: R-3m

***

KMg2Re | PBE-GGA | optimized geometry

Cell and atoms, written as CIF:
```
data_KMg2Re
_symmetry_space_group_name_H-M 'P 1'
_symmetry_Int_Tables_number 1
_symmetry_space_group_name_Hall 'P 1'
_cell_length_a 2.777
_cell_length_b 6.033
_cell_length_c 11.991
_cell_angle_alpha 90.00
_cell_angle_beta 90.00
_cell_angle_gamma 90.00
loop_
_atom_site_label
_atom_site_fract_x
_atom_site_fract_y
_atom_site_fract_z
K1 0.000 0.000 0.000
K2 0.500 0.500 0.500
Mg1 0.000 0.500 0.201
Mg2 0.000 0.500 0.799
Mg3 0.500 0.000 0.299
Mg4 0.500 0.000 0.701
Re1 0.000 0.000 0.500
Re2 0.500 0.500 0.000
```

## Properties
- Energy of formation from the pure elements: 922 meV per atom
- Energy above the lowest structure with this stoichiometry: 320 meV per atom
- Symmetry: Immm

***

K2MgRe | PBE-GGA | optimized geometry

Cell and atoms, written as CIF:
```
data_K2MgRe
_symmetry_space_group_name_H-M 'P 1'
_symmetry_Int_Tables_number 1
_symmetry_space_group_name_Hall 'P 1'
_cell_length_a 9.638
_cell_length_b 2.815
_cell_length_c 9.734
_cell_angle_alpha 90.00
_cell_angle_beta 91.61
_cell_angle_gamma 90.00
loop_
_atom_site_label
_atom_site_fract_x
_atom_site_fract_y
_atom_site_fract_z
K1 0.000 0.000 0.000
K2 0.239 0.000 0.583
K3 0.500 0.500 0.000
K4 0.739 0.500 0.583
Mg1 0.485 0.000 0.333
Mg2 0.985 0.500 0.333
Re1 0.250 0.500 0.250
Re2 0.750 0.000 0.250
```

## Properties
- Energy of formation from the pure elements: 990 meV per atom
- Energy above the lowest structure with this stoichiometry: 70 meV per atom
- Symmetry: Cm

***

KMgRe2 | PBE-GGA | optimized geometry

Cell and atoms, written as CIF:
```
data_KMgRe2
_symmetry_space_group_name_H-M 'P 1'
_symmetry_Int_Tables_number 1
_symmetry_space_group_name_Hall 'P 1'
_cell_length_a 3.825
_cell_length_b 3.825
_cell_length_c 5.107
_cell_angle_alpha 90.00
_cell_angle_beta 90.00
_cell_angle_gamma 90.00
loop_
_atom_site_label
_atom_site_fract_x
_atom_site_fract_y
_atom_site_fract_z
K1 0.000 0.000 0.000
Mg1 0.500 0.500 0.000
Re1 0.000 0.500 0.500
Re2 0.500 0.000 0.500
```

## Properties
- Energy of formation from the pure elements: 1348 meV per atom
- Energy above the lowest structure with this stoichiometry: 807 meV per atom
- Symmetry: P4/mmm

***

K2MgRe | PBE-GGA | optimized geometry

Cell and atoms, written as CIF:
```
data_K2MgRe
_symmetry_space_group_name_H-M 'P 1'
_symmetry_Int_Tables_number 1
_symmetry_space_group_name_Hall 'P 1'
_cell_length_a 4.269
_cell_length_b 4.269
_cell_length_c 5.818
_cell_angle_alpha 90.00
_cell_angle_beta 90.00
_cell_angle_gamma 90.00
loop_
_atom_site_label
_atom_site_fract_x
_atom_site_fract_y
_atom_site_fract_z
K1 0.000 0.500 0.000
K2 0.500 0.000 0.000
Mg1 0.000 0.000 0.500
Re1 0.500 0.500 0.500
```

## Properties
- Energy of formation from the pure elements: 1406 meV per atom
- Energy above the lowest structure with this stoichiometry: 486 meV per atom
- Symmetry: P4/mmm

***

KMgRe2 | PBE-GGA | optimized geometry

Cell and atoms, written as CIF:
```
data_KMgRe2
_symmetry_space_group_name_H-M 'P 1'
_symmetry_Int_Tables_number 1
_symmetry_space_group_name_Hall 'P 1'
_cell_length_a 3.823
_cell_length_b 3.823
_cell_length_c 10.225
_cell_angle_alpha 90.00
_cell_angle_beta 90.00
_cell_angle_gamma 90.00
loop_
_atom_site_label
_atom_site_fract_x
_atom_site_fract_y
_atom_site_fract_z
K1 0.000 0.000 0.000
K2 0.500 0.500 0.500
Mg1 0.000 0.000 0.500
Mg2 0.500 0.500 0.000
Re1 0.000 0.500 0.250
Re2 0.000 0.500 0.750
Re3 0.500 0.000 0.250
Re4 0.500 0.000 0.750
```

## Properties
- Energy of formation from the pure elements: 1350 meV per atom
- Energy above the lowest structure with this stoichiometry: 809 meV per atom
- Symmetry: I4/mmm

***

K2MgRe | PBE-GGA | optimized geometry

Cell and atoms, written as CIF:
```
data_K2MgRe
_symmetry_space_group_name_H-M 'P 1'
_symmetry_Int_Tables_number 1
_symmetry_space_group_name_Hall 'P 1'
_cell_length_a 2.873
_cell_length_b 2.873
_cell_length_c 12.355
_cell_angle_alpha 90.00
_cell_angle_beta 90.00
_cell_angle_gamma 90.00
loop_
_atom_site_label
_atom_site_fract_x
_atom_site_fract_y
_atom_site_fract_z
K1 0.000 0.000 0.225
K2 0.000 0.000 0.775
Mg1 0.500 0.500 0.500
Re1 0.500 0.500 0.000
```

## Properties
- Energy of formation from the pure elements: 1124 meV per atom
- Energy above the lowest structure with this stoichiometry: 204 meV per atom
- Symmetry: P4/mmm

***

KMg2Re | PBE-GGA | optimized geometry

Cell and atoms, written as CIF:
```
data_KMg2Re
_symmetry_space_group_name_H-M 'P 1'
_symmetry_Int_Tables_number 1
_symmetry_space_group_name_Hall 'P 1'
_cell_length_a 2.838
_cell_length_b 2.838
_cell_length_c 10.820
_cell_angle_alpha 90.00
_cell_angle_beta 90.00
_cell_angle_gamma 90.00
loop_
_atom_site_label
_atom_site_fract_x
_atom_site_fract_y
_atom_site_fract_z
K1 0.000 0.000 0.000
Mg1 0.000 0.000 0.547
Mg2 0.500 0.500 0.308
Re1 0.500 0.500 0.739
```

## Properties
- Energy of formation from the pure elements: 707 meV per atom
- Energy above the lowest structure with this stoichiometry: 105 meV per atom
- Symmetry: P4mm

***

KMgRe3 | PBE-GGA | optimized geometry

Cell and atoms, written as CIF:
```
data_KMgRe3
_symmetry_space_group_name_H-M 'P 1'
_symmetry_Int_Tables_number 1
_symmetry_space_group_name_Hall 'P 1'
_cell_length_a 4.735
_cell_length_b 4.735
_cell_length_c 4.735
_cell_angle_alpha 90.00
_cell_angle_beta 90.00
_cell_angle_gamma 90.00
loop_
_atom_site_label
_atom_site_fract_x
_atom_site_fract_y
_atom_site_fract_z
K1 0.000 0.000 0.000
Mg1 0.500 0.500 0.500
Re1 0.000 0.500 0.500
Re2 0.500 0.000 0.500
Re3 0.500 0.500 0.000
```

## Properties
- Energy of formation from the pure elements: 2867 meV per atom
- Energy above the lowest structure with this stoichiometry: 0 meV per atom
- Symmetry: Pm-3m

***

K2MgRe | PBE-GGA | optimized geometry

Cell and atoms, written as CIF:
```
data_K2MgRe
_symmetry_space_group_name_H-M 'P 1'
_symmetry_Int_Tables_number 1
_symmetry_space_group_name_Hall 'P 1'
_cell_length_a 3.468
_cell_length_b 3.468
_cell_length_c 10.862
_cell_angle_alpha 90.00
_cell_angle_beta 90.00
_cell_angle_gamma 90.00
loop_
_atom_site_label
_atom_site_fract_x
_atom_site_fract_y
_atom_site_fract_z
K1 0.000 0.000 0.000
K2 0.500 0.500 0.391
Mg1 0.000 0.000 0.655
Re1 0.500 0.500 0.768
```

## Properties
- Energy of formation from the pure elements: 1018 meV per atom
- Energy above the lowest structure with this stoichiometry: 98 meV per atom
- Symmetry: P4mm

***

KMg2Re | PBE-GGA | optimized geometry

Cell and atoms, written as CIF:
```
data_KMg2Re
_symmetry_space_group_name_H-M 'P 1'
_symmetry_Int_Tables_number 1
_symmetry_space_group_name_Hall 'P 1'
_cell_length_a 2.906
_cell_length_b 2.906
_cell_length_c 10.721
_cell_angle_alpha 90.00
_cell_angle_beta 90.00
_cell_angle_gamma 90.00
loop_
_atom_site_label
_atom_site_fract_x
_atom_site_fract_y
_atom_site_fract_z
K1 0.000 0.000 0.000
Mg1 0.500 0.500 0.309
Mg2 0.500 0.500 0.691
Re1 0.000 0.000 0.500
```

## Properties
- Energy of formation from the pure elements: 613 meV per atom
- Energy above the lowest structure with this stoichiometry: 11 meV per atom
- Symmetry: P4/mmm

***

KMgRe2 | PBE-GGA | optimized geometry

Cell and atoms, written as CIF:
```
data_KMgRe2
_symmetry_space_group_name_H-M 'P 1'
_symmetry_Int_Tables_number 1
_symmetry_space_group_name_Hall 'P 1'
_cell_length_a 6.747
_cell_length_b 6.747
_cell_length_c 6.747
_cell_angle_alpha 90.00
_cell_angle_beta 90.00
_cell_angle_gamma 90.00
loop_
_atom_site_label
_atom_site_fract_x
_atom_site_fract_y
_atom_site_fract_z
K1 0.000 0.000 0.000
K2 0.000 0.500 0.500
K3 0.500 0.000 0.500
K4 0.500 0.500 0.000
Mg1 0.000 0.000 0.500
Mg2 0.000 0.500 0.000
Mg3 0.500 0.000 0.000
Mg4 0.500 0.500 0.500
Re1 0.250 0.250 0.250
Re2 0.250 0.250 0.750
Re3 0.250 0.750 0.250
Re4 0.250 0.750 0.750
Re5 0.750 0.250 0.250
Re6 0.750 0.250 0.750
Re7 0.750 0.750 0.250
Re8 0.750 0.750 0.750
```

## Properties
- Energy of formation from the pure elements: 2147 meV per atom
- Energy above the lowest structure with this stoichiometry: 1605 meV per atom
- Symmetry: Fm-3m

***

KMg2Re | PBE-GGA | optimized geometry

Cell and atoms, written as CIF:
```
data_KMg2Re
_symmetry_space_group_name_H-M 'P 1'
_symmetry_Int_Tables_number 1
_symmetry_space_group_name_Hall 'P 1'
_cell_length_a 9.748
_cell_length_b 2.787
_cell_length_c 7.801
_cell_angle_alpha 90.00
_cell_angle_beta 92.57
_cell_angle_gamma 90.00
loop_
_atom_site_label
_atom_site_fract_x
_atom_site_fract_y
_atom_site_fract_z
K1 0.000 0.000 0.000
K2 0.500 0.500 0.000
Mg1 0.237 0.000 0.627
Mg2 0.492 0.000 0.420
Mg3 0.737 0.500 0.627
Mg4 0.992 0.500 0.420
Re1 0.255 0.500 0.325
Re2 0.755 0.000 0.325
```

## Properties
- Energy of formation from the pure elements: 751 meV per atom
- Energy above the lowest structure with this stoichiometry: 149 meV per atom
- Symmetry: Cm

***

KMgRe2Se | PBE-GGA | optimized geometry

Cell and atoms, written as CIF:
```
data_KMgRe2Se
_symmetry_space_group_name_H-M 'P 1'
_symmetry_Int_Tables_number 1
_symmetry_space_group_name_Hall 'P 1'
_cell_length_a 5.045
_cell_length_b 5.045
_cell_length_c 5.361
_cell_angle_alpha 90.00
_cell_angle_beta 90.00
_cell_angle_gamma 90.00
loop_
_atom_site_label
_atom_site_fract_x
_atom_site_fract_y
_atom_site_fract_z
K1 0.000 0.000 0.000
Mg1 0.500 0.500 0.500
Re1 0.000 0.500 0.500
Re2 0.500 0.000 0.500
Se1 0.500 0.500 0.000
```

## Properties
- Energy relative to the elements, uncorrected: 1.932 eV/atom
- Symmetry: P4/mmm

***

KMgReSn2 | PBE-GGA | optimized geometry

Cell and atoms, written as CIF:
```
data_KMgReSn2
_symmetry_space_group_name_H-M 'P 1'
_symmetry_Int_Tables_number 1
_symmetry_space_group_name_Hall 'P 1'
_cell_length_a 5.205
_cell_length_b 5.205
_cell_length_c 5.307
_cell_angle_alpha 90.00
_cell_angle_beta 90.00
_cell_angle_gamma 90.00
loop_
_atom_site_label
_atom_site_fract_x
_atom_site_fract_y
_atom_site_fract_z
K1 0.000 0.000 0.000
Mg1 0.500 0.500 0.000
Re1 0.500 0.500 0.500
Sn1 0.000 0.500 0.500
Sn2 0.500 0.000 0.500
```

## Properties
- Energy of formation from the pure elements: 92 meV per atom
- Symmetry: P4/mmm

***

K2MgRh | PBE-GGA | optimized geometry

Cell and atoms, written as CIF:
```
data_K2MgRh
_symmetry_space_group_name_H-M 'P 1'
_symmetry_Int_Tables_number 1
_symmetry_space_group_name_Hall 'P 1'
_cell_length_a 3.623
_cell_length_b 3.627
_cell_length_c 10.044
_cell_angle_alpha 90.00
_cell_angle_beta 90.76
_cell_angle_gamma 90.00
loop_
_atom_site_label
_atom_site_fract_x
_atom_site_fract_y
_atom_site_fract_z
K1 0.000 0.000 0.000
K2 0.477 0.500 0.414
Mg1 0.490 0.500 0.731
Rh1 0.988 0.000 0.670
```

## Properties
- Energy of formation from the pure elements: 120 meV per atom
- Symmetry: Pm

***

Number 1: D(E_F) 0.892 states/eV/atom. Number 2: D(E_F) 0.567 states/eV/atom. Number 3: D(E_F) 0.977 states/eV/atom. Number 4: D(E_F) 1.034 states/eV/atom. Number 5: D(E_F) 0.573 states/eV/atom. Number 6: D(E_F) 0.941 states/eV/atom. Number 7: D(E_F) 0.690 states/eV/atom. Number 8: D(E_F) 0.525 states/eV/atom. Number 9: D(E_F) 0.593 states/eV/atom. Number 10: D(E_F) 0.628 states/eV/atom. Number 11: D(E_F) 0.674 states/eV/atom. Number 12: D(E_F) 0.510 states/eV/atom. Number 13: D(E_F) 2.019 states/eV/atom. Number 14: D(E_F) 0.638 states/eV/atom. Number 15: D(E_F) 1.036 states/eV/atom. Number 16: D(E_F) 1.045 states/eV/atom. Number 17: D(E_F) 0.628 states/eV/atom. Number 18: D(E_F) 0.638 states/eV/atom. Number 19: D(E_F) 0.253 states/eV/atom. Number 20: D(E_F) 0.425 states/eV/atom.